*1*
{"formula": "ReIrSe", "functional": "PBE", "state": "relaxed", "cell": [[6.095, 0.001, 0.000], [4.701, 3.880, 0.000], [-5.398, -1.940, 2.061]], "species": ["Ir", "Re", "Se"], "frac_coords": [[0.980, 0.980, 0.000], [0.332, 0.332, 0.000], [0.688, 0.688, 0.000]], "n_ef_per_ev_cell": 2.68, "magmom_total_mub_per_fu": 0.00, "crystal_system": "tetragonal", "spacegroup": "No. 107"}

***

*2*
{"formula": "ReIrSe", "functional": "PBE", "state": "relaxed", "cell": [[-7.695, -0.322, 0.438], [-6.995, -1.957, -1.697], [-0.565, -1.119, 2.480]], "species": ["Ir", "Re", "Se"], "frac_coords": [[0.990, 0.990, 0.010], [0.340, 0.340, 0.660], [0.671, 0.671, 0.329]], "n_ef_per_ev_cell": 2.12, "magmom_total_mub_per_fu": 0.00, "crystal_system": "orthorhombic", "spacegroup": "No. 42"}

***

Which of them is the most stable, and which is the least stable? *1* and *2*, in that order.

***

*1*
{"formula": "Re2IrSe2", "functional": "PBE", "state": "relaxed", "cell": [[3.864, 0.000, 0.000], [0.000, 3.864, 0.000], [1.932, 1.932, 5.693]], "species": ["Re", "Re", "Ir", "Se", "Se"], "frac_coords": [[0.392, 0.392, 0.215], [0.608, 0.608, 0.785], [0.000, 0.000, 0.000], [0.750, 0.250, 0.500], [0.250, 0.750, 0.500]], "n_ef_per_ev_cell": 2.97, "magmom_total_mub_per_fu": 0.00, "crystal_system": "tetragonal", "spacegroup": "No. 139"}

***

*2*
{"formula": "Re2IrSe2", "functional": "PBE", "state": "relaxed", "cell": [[-2.425, 5.986, 3.119], [-2.988, -3.923, 5.208], [2.624, 0.200, 1.656]], "species": ["Re", "Re", "Re", "Re", "Ir", "Ir", "Se", "Se", "Se", "Se"], "frac_coords": [[0.356, 0.856, 0.000], [0.856, 0.644, 0.000], [0.644, 0.144, 0.000], [0.144, 0.356, 0.000], [0.000, 0.000, 0.000], [0.500, 0.500, 0.000], [0.151, 0.651, 0.500], [0.651, 0.849, 0.500], [0.849, 0.349, 0.500], [0.349, 0.151, 0.500]], "n_ef_per_ev_cell": 5.74, "magmom_total_mub_per_fu": 0.00, "crystal_system": "tetragonal", "spacegroup": "No. 127"}

***

Which of them is the most stable, and which is the least stable? *1* and *2*, in that order.

***

*1*
{"formula": "ReIr3Se", "functional": "PBE", "state": "relaxed", "cell": [[4.549, 0.000, 0.000], [0.000, 4.549, 0.000], [0.000, 0.000, 4.549]], "species": ["Re", "Ir", "Ir", "Ir", "Se"], "frac_coords": [[0.500, 0.500, 0.500], [0.000, 0.500, 0.000], [0.000, 0.000, 0.500], [0.500, 0.000, 0.000], [0.000, 0.000, 0.000]], "n_ef_per_ev_cell": 5.28, "magmom_total_mub_per_fu": 4.18, "crystal_system": "cubic", "spacegroup": "No. 221"}

***

*2*
{"formula": "ReIr3Se", "functional": "PBE", "state": "relaxed", "cell": [[-3.047, -3.607, 0.525], [2.684, -2.683, -2.858], [2.466, -1.536, 3.759]], "species": ["Re", "Ir", "Ir", "Ir", "Se"], "frac_coords": [[0.000, 0.000, 0.000], [0.000, 0.500, 0.000], [0.000, 0.000, 0.500], [0.500, 0.000, 0.000], [0.500, 0.500, 0.500]], "n_ef_per_ev_cell": 7.31, "magmom_total_mub_per_fu": 0.00, "crystal_system": "cubic", "spacegroup": "No. 221"}

***

Which of them is the most stable, and which is the least stable? *2* and *1*, in that order.

***

*1*
{"formula": "ReSiIr", "functional": "PBE", "state": "relaxed", "cell": [[-3.859, -0.972, -3.506], [-4.316, -2.799, -1.291], [-2.272, 1.601, 0.851]], "species": ["Ir", "Re", "Si"], "frac_coords": [[0.984, 0.984, 0.016], [0.684, 0.684, 0.316], [0.332, 0.332, 0.668]], "n_ef_per_ev_cell": 2.81, "magmom_total_mub_per_fu": 0.00, "crystal_system": "tetragonal", "spacegroup": "No. 107"}

***

*2*
{"formula": "ReSiIr", "functional": "PBE", "state": "relaxed", "cell": [[4.585, 0.001, 0.003], [2.084, 4.084, -0.003], [-2.926, -2.709, 2.263]], "species": ["Ir", "Re", "Si"], "frac_coords": [[0.996, 0.996, 0.000], [0.337, 0.337, 0.000], [0.667, 0.667, 0.000]], "n_ef_per_ev_cell": 1.36, "magmom_total_mub_per_fu": 0.00, "crystal_system": "orthorhombic", "spacegroup": "No. 44"}

***

*3*
{"formula": "ReSiIr", "functional": "PBE", "state": "relaxed", "cell": [[-2.473, 1.282, -0.127], [0.168, -2.614, 0.956], [0.827, 2.168, 5.781]], "species": ["Ir", "Re", "Si"], "frac_coords": [[0.000, 0.000, 0.984], [0.667, 0.333, 0.345], [0.333, 0.667, 0.672]], "n_ef_per_ev_cell": 1.68, "magmom_total_mub_per_fu": 0.00, "crystal_system": "trigonal", "spacegroup": "No. 156"}

***

Which of them is the most stable, and which is the least stable? *3* and *2*, in that order.

***

*1*
{"formula": "ReSiIr3", "functional": "PBE", "state": "relaxed", "cell": [[-0.051, 3.898, 2.702], [-3.346, -1.945, 2.742], [3.361, -1.876, 2.771]], "species": ["Re", "Si", "Ir", "Ir", "Ir"], "frac_coords": [[0.000, 0.000, 0.000], [0.500, 0.500, 0.500], [0.000, 0.500, 0.000], [0.000, 0.000, 0.500], [0.500, 0.000, 0.000]], "n_ef_per_ev_cell": 4.79, "magmom_total_mub_per_fu": 0.00, "crystal_system": "cubic", "spacegroup": "No. 221"}

***

*2*
{"formula": "ReSiIr3", "functional": "PBE", "state": "relaxed", "cell": [[-3.439, 2.727, 0.219], [-2.168, -2.500, -2.892], [-1.670, -2.371, 3.302]], "species": ["Re", "Si", "Ir", "Ir", "Ir"], "frac_coords": [[0.500, 0.500, 0.500], [0.000, 0.000, 0.000], [0.000, 0.500, 0.000], [0.000, 0.000, 0.500], [0.500, 0.000, 0.000]], "n_ef_per_ev_cell": 2.56, "magmom_total_mub_per_fu": 3.86, "crystal_system": "cubic", "spacegroup": "No. 221"}

***

Which of them is the most stable, and which is the least stable? *2* and *1*, in that order.

***

*1*
{"formula": "ReSn3Ir", "functional": "PBE", "state": "relaxed", "cell": [[5.120, 0.000, 0.000], [0.000, 5.120, 0.000], [0.000, 0.000, 5.120]], "species": ["Re", "Ir", "Sn", "Sn", "Sn"], "frac_coords": [[0.000, 0.000, 0.000], [0.500, 0.500, 0.500], [0.000, 0.500, 0.000], [0.000, 0.000, 0.500], [0.500, 0.000, 0.000]], "n_ef_per_ev_cell": 9.93, "magmom_total_mub_per_fu": 2.00, "crystal_system": "cubic", "spacegroup": "No. 221"}

***

*2*
{"formula": "ReSn3Ir", "functional": "PBE", "state": "relaxed", "cell": [[-3.200, -2.980, -2.585], [2.693, 0.783, -4.235], [2.883, -4.038, 1.087]], "species": ["Re", "Ir", "Sn", "Sn", "Sn"], "frac_coords": [[0.500, 0.500, 0.500], [0.000, 0.000, 0.000], [0.000, 0.500, 0.000], [0.000, 0.000, 0.500], [0.500, 0.000, 0.000]], "n_ef_per_ev_cell": 7.01, "magmom_total_mub_per_fu": 2.82, "crystal_system": "cubic", "spacegroup": "No. 221"}

***

Which of them is the most stable, and which is the least stable? *1* and *2*, in that order.

***

*1*
{"formula": "TaReIr2", "functional": "PBE", "state": "relaxed", "cell": [[-3.747, -2.118, 1.160], [-1.838, -2.962, -2.779], [0.110, -4.346, 0.984]], "species": ["Ir", "Ir", "Re", "Ta"], "frac_coords": [[0.000, 0.000, 0.000], [0.750, 0.750, 0.750], [0.500, 0.500, 0.500], [0.250, 0.250, 0.250]], "n_ef_per_ev_cell": 5.25, "magmom_total_mub_per_fu": 0.00, "crystal_system": "cubic", "spacegroup": "No. 216"}

***

*2*
{"formula": "TaReIr2", "functional": "PBE", "state": "relaxed", "cell": [[-0.426, 0.252, 6.214], [-3.760, -1.328, -2.706], [-0.105, -2.444, 1.342]], "species": ["Ir", "Ir", "Re", "Ta"], "frac_coords": [[0.000, 0.000, 0.000], [0.500, 0.000, 0.500], [0.000, 0.500, 0.500], [0.500, 0.500, 0.000]], "n_ef_per_ev_cell": 1.92, "magmom_total_mub_per_fu": 0.00, "crystal_system": "orthorhombic", "spacegroup": "No. 65"}

***

*3*
{"formula": "TaReIr2", "functional": "PBE", "state": "relaxed", "cell": [[4.843, -0.010, -0.002], [1.643, 4.555, 0.002], [-3.242, -2.274, 2.786]], "species": ["Ir", "Ir", "Re", "Ta"], "frac_coords": [[0.000, 0.000, 0.000], [0.250, 0.750, 0.500], [0.500, 0.500, 0.000], [0.750, 0.250, 0.500]], "n_ef_per_ev_cell": 3.20, "magmom_total_mub_per_fu": 0.00, "crystal_system": "tetragonal", "spacegroup": "No. 119"}

***

Which of them is the most stable, and which is the least stable? *2* and *1*, in that order.